# PBE-GGA BaSr5Sb4, optimized geometry
data_BaSr5Sb4
_chemical_formula_sum 'Ba2 Sr10 Sb8'
_cell_length_a 4.6890
_cell_length_b 11.3521
_cell_length_c 15.0495
_cell_angle_alpha 90.00
_cell_angle_beta 90.00
_cell_angle_gamma 90.00
_symmetry_space_group_name_H-M 'I m m m'
_symmetry_Int_Tables_number 71
_symmetry_space_group_name_Hall '-I 2 2'
loop_
_atom_site_label
_atom_site_type_symbol
_atom_site_fract_x
_atom_site_fract_y
_atom_site_fract_z
Ba1 Ba 0.0000 0.0000 0.0000
Sr1 Sr 0.0000 0.0000 0.5000
Sr2 Sr 0.0000 0.2891 0.3486
Sb1 Sb 0.0000 0.0000 0.2382
Sb2 Sb 0.0000 0.2908 0.0000
# * raw total energy: -3.509 eV per atom
# * V: 801.1 Å³ per cell
# * mass density: 4.4 g/cm3

***

# PBE-GGA Ba2Sr3Sb3, optimized geometry
data_Ba2Sr3Sb3
_chemical_formula_sum 'Ba4 Sr6 Sb6'
_cell_length_a 9.8012
_cell_length_b 9.8012
_cell_length_c 7.7719
_cell_angle_alpha 90.00
_cell_angle_beta 90.00
_cell_angle_gamma 120.00
_symmetry_space_group_name_H-M 'P 63/m c m'
_symmetry_Int_Tables_number 193
_symmetry_space_group_name_Hall '-P 6c 2'
loop_
_atom_site_label
_atom_site_type_symbol
_atom_site_fract_x
_atom_site_fract_y
_atom_site_fract_z
Ba1 Ba 0.3333 0.6667 0.0000
Sr1 Sr 0.0000 0.2550 0.2500
Sb1 Sb 0.0000 0.3847 0.7500
# * raw total energy: -3.640 eV per atom
# * V: 646.6 Å³ per cell
# * mass density: 4.6 g/cm3

***

# PBE-GGA Ba3Sr2Sb3, optimized geometry
data_Ba3Sr2Sb3
_chemical_formula_sum 'Ba6 Sr4 Sb6'
_cell_length_a 9.9567
_cell_length_b 9.9567
_cell_length_c 7.6125
_cell_angle_alpha 90.00
_cell_angle_beta 90.00
_cell_angle_gamma 120.00
_symmetry_space_group_name_H-M 'P 63/m c m'
_symmetry_Int_Tables_number 193
_symmetry_space_group_name_Hall '-P 6c 2'
loop_
_atom_site_label
_atom_site_type_symbol
_atom_site_fract_x
_atom_site_fract_y
_atom_site_fract_z
Ba1 Ba 0.0000 0.2554 0.2500
Sr1 Sr 0.3333 0.6667 0.0000
Sb1 Sb 0.0000 0.3937 0.7500
# * raw total energy: -3.681 eV per atom
# * V: 653.6 Å³ per cell
# * mass density: 4.8 g/cm3

***

# PBE-GGA Ba2Sr3Sb4, optimized geometry
data_Ba2Sr3Sb4
_chemical_formula_sum 'Ba4 Sr6 Sb8'
_cell_length_a 18.9417
_cell_length_b 5.1710
_cell_length_c 7.3179
_cell_angle_alpha 90.00
_cell_angle_beta 102.40
_cell_angle_gamma 90.00
_symmetry_space_group_name_H-M 'C 1 2/m 1'
_symmetry_Int_Tables_number 12
loop_
_symmetry_equiv_pos_as_xyz
'x,y,z'
'-x,-y,-z'
'-x,y,-z'
'x,-y,z'
'x+1/2,y+1/2,z'
'-x+1/2,-y+1/2,-z'
'-x+1/2,y+1/2,-z'
'x+1/2,-y+1/2,z'
loop_
_atom_site_label
_atom_site_type_symbol
_atom_site_fract_x
_atom_site_fract_y
_atom_site_fract_z
Ba1 Ba 0.1673 0.0000 0.1039
Sr1 Sr 0.0000 0.5000 0.0000
Sr2 Sr 0.1186 0.5000 0.5505
Sb1 Sb 0.0005 0.0000 0.7154
Sb2 Sb 0.2353 0.0000 0.6889
# * raw total energy: -3.676 eV per atom
# * V: 700.1 Å³ per cell
# * mass density: 4.9 g/cm3

***

# PBE-GGA Ba2Sr2Sb, optimized geometry
data_Ba2Sr2Sb
_chemical_formula_sum 'Ba4 Sr4 Sb2'
_cell_length_a 8.8549
_cell_length_b 8.8549
_cell_length_c 6.4857
_cell_angle_alpha 90.00
_cell_angle_beta 90.00
_cell_angle_gamma 90.00
_symmetry_space_group_name_H-M 'P 4/m b m'
_symmetry_Int_Tables_number 127
_symmetry_space_group_name_Hall '-P 4 2ab'
loop_
_atom_site_label
_atom_site_type_symbol
_atom_site_fract_x
_atom_site_fract_y
_atom_site_fract_z
Ba1 Ba 0.1646 0.3354 0.0000
Sr1 Sr 0.1588 0.6588 0.5000
Sb1 Sb 0.0000 0.0000 0.5000
# * raw total energy: -2.537 eV per atom
# * V: 508.5 Å³ per cell
# * mass density: 3.7 g/cm3

***

# PBE-GGA Ba4SrSb, optimized geometry
data_Ba4SrSb
_chemical_formula_sum 'Ba16 Sr4 Sb4'
_cell_length_a 10.6802
_cell_length_b 10.6802
_cell_length_c 10.6802
_cell_angle_alpha 90.00
_cell_angle_beta 90.00
_cell_angle_gamma 90.00
_symmetry_space_group_name_H-M 'F -4 3 m'
_symmetry_Int_Tables_number 216
_symmetry_space_group_name_Hall 'F -4 2 3'
loop_
_atom_site_label
_atom_site_type_symbol
_atom_site_fract_x
_atom_site_fract_y
_atom_site_fract_z
Ba1 Ba 0.1232 0.1232 0.1232
Sr1 Sr 0.0000 0.0000 0.5000
Sb1 Sb 0.2500 0.2500 0.7500
# * raw total energy: -2.124 eV per atom
# * V: 1218.2 Å³ per cell
# * mass density: 4.1 g/cm3

***

# PBE-GGA Ba5SrSb4, optimized geometry
data_Ba5SrSb4
_chemical_formula_sum 'Ba10 Sr2 Sb8'
_cell_length_a 18.2648
_cell_length_b 5.7199
_cell_length_c 8.5724
_cell_angle_alpha 90.00
_cell_angle_beta 90.11
_cell_angle_gamma 90.00
_symmetry_space_group_name_H-M 'C 1 2/m 1'
_symmetry_Int_Tables_number 12
loop_
_symmetry_equiv_pos_as_xyz
'x,y,z'
'-x,-y,-z'
'-x,y,-z'
'x,-y,z'
'x+1/2,y+1/2,z'
'-x+1/2,-y+1/2,-z'
'-x+1/2,y+1/2,-z'
'x+1/2,-y+1/2,z'
loop_
_atom_site_label
_atom_site_type_symbol
_atom_site_fract_x
_atom_site_fract_y
_atom_site_fract_z
Ba1 Ba 0.0000 0.0000 0.0000
Ba2 Ba 0.1580 0.5000 0.4823
Ba3 Ba 0.1589 0.5000 0.0133
Sr1 Sr 0.0000 0.0000 0.5000
Sb1 Sb 0.0154 0.5000 0.7444
Sb2 Sb 0.1851 0.0000 0.2493
# * raw total energy: -3.748 eV per atom
# * V: 895.6 Å³ per cell
# * mass density: 4.7 g/cm3

***

# PBE-GGA Ba3Sr2Sb4, optimized geometry
data_Ba3Sr2Sb4
_chemical_formula_sum 'Ba6 Sr4 Sb8'
_cell_length_a 18.2039
_cell_length_b 5.5685
_cell_length_c 7.4289
_cell_angle_alpha 90.00
_cell_angle_beta 105.14
_cell_angle_gamma 90.00
_symmetry_space_group_name_H-M 'C 1 2/m 1'
_symmetry_Int_Tables_number 12
loop_
_symmetry_equiv_pos_as_xyz
'x,y,z'
'-x,-y,-z'
'-x,y,-z'
'x,-y,z'
'x+1/2,y+1/2,z'
'-x+1/2,-y+1/2,-z'
'-x+1/2,y+1/2,-z'
'x+1/2,-y+1/2,z'
loop_
_atom_site_label
_atom_site_type_symbol
_atom_site_fract_x
_atom_site_fract_y
_atom_site_fract_z
Ba1 Ba 0.0000 0.0000 0.0000
Ba2 Ba 0.1351 0.0000 0.5776
Sr1 Sr 0.1602 0.5000 0.0520
Sb1 Sb 0.0036 0.5000 0.3035
Sb2 Sb 0.2260 0.0000 0.2280
# * raw total energy: -3.791 eV per atom
# * V: 726.9 Å³ per cell
# * mass density: 4.9 g/cm3

***

# PBE-GGA Ba3SrSb2, optimized geometry
data_Ba3SrSb2
_chemical_formula_sum 'Ba6 Sr2 Sb4'
_cell_length_a 5.2264
_cell_length_b 5.2898
_cell_length_c 18.7049
_cell_angle_alpha 90.00
_cell_angle_beta 90.00
_cell_angle_gamma 90.00
_symmetry_space_group_name_H-M 'I m m m'
_symmetry_Int_Tables_number 71
_symmetry_space_group_name_Hall '-I 2 2'
loop_
_atom_site_label
_atom_site_type_symbol
_atom_site_fract_x
_atom_site_fract_y
_atom_site_fract_z
Ba1 Ba 0.0000 0.0000 0.0000
Ba2 Ba 0.0000 0.5000 0.3212
Sr1 Sr 0.0000 0.0000 0.5000
Sb1 Sb 0.0000 0.5000 0.1318
# * raw total energy: -3.485 eV per atom
# * V: 517.1 Å³ per cell
# * mass density: 4.8 g/cm3

***

# PBE-GGA BaSr4Sb, optimized geometry
data_BaSr4Sb
_chemical_formula_sum 'Ba4 Sr16 Sb4'
_cell_length_a 10.5815
_cell_length_b 10.5815
_cell_length_c 10.5815
_cell_angle_alpha 90.00
_cell_angle_beta 90.00
_cell_angle_gamma 90.00
_symmetry_space_group_name_H-M 'F -4 3 m'
_symmetry_Int_Tables_number 216
_symmetry_space_group_name_Hall 'F -4 2 3'
loop_
_atom_site_label
_atom_site_type_symbol
_atom_site_fract_x
_atom_site_fract_y
_atom_site_fract_z
Ba1 Ba 0.0000 0.0000 0.0000
Sr1 Sr 0.1241 0.1241 0.3759
Sb1 Sb 0.2500 0.2500 0.7500
# * raw total energy: -2.016 eV per atom
# * V: 1184.8 Å³ per cell
# * mass density: 3.4 g/cm3

***

# PBE-GGA BaSrSbTe2, optimized geometry
data_BaSrSbTe2
_chemical_formula_sum 'Ba1 Sr1 Sb1 Te2'
_cell_length_a 6.1267
_cell_length_b 6.1267
_cell_length_c 5.9453
_cell_angle_alpha 90.00
_cell_angle_beta 90.00
_cell_angle_gamma 90.00
_symmetry_space_group_name_H-M 'P 4/m m m'
_symmetry_Int_Tables_number 123
_symmetry_space_group_name_Hall '-P 4 2'
loop_
_atom_site_label
_atom_site_type_symbol
_atom_site_fract_x
_atom_site_fract_y
_atom_site_fract_z
Ba1 Ba 0.0000 0.0000 0.0000
Sr1 Sr 0.5000 0.5000 0.5000
Sb1 Sb 0.5000 0.5000 0.0000
Te1 Te 0.0000 0.5000 0.5000
# * raw total energy: -3.343 eV per atom
# * V: 223.2 Å³ per cell
# * mass density: 4.5 g/cm3

***

# PBE-GGA BaSrSbTe2, optimized geometry
data_BaSrSbTe2
_chemical_formula_sum 'Ba1 Sr1 Sb1 Te2'
_cell_length_a 6.3440
_cell_length_b 6.3440
_cell_length_c 6.1091
_cell_angle_alpha 90.00
_cell_angle_beta 90.00
_cell_angle_gamma 90.00
_symmetry_space_group_name_H-M 'P 4/m m m'
_symmetry_Int_Tables_number 123
_symmetry_space_group_name_Hall '-P 4 2'
loop_
_atom_site_label
_atom_site_type_symbol
_atom_site_fract_x
_atom_site_fract_y
_atom_site_fract_z
Ba1 Ba 0.0000 0.0000 0.0000
Sr1 Sr 0.5000 0.5000 0.5000
Sb1 Sb 0.0000 0.0000 0.5000
Te1 Te 0.0000 0.5000 0.0000
# * raw total energy: -3.023 eV per atom
# * V: 245.9 Å³ per cell
# * mass density: 4.1 g/cm3

***

# PBE-GGA Ba2SrTlSb, optimized geometry
data_Ba2SrTlSb
_chemical_formula_sum 'Ba2 Sr1 Tl1 Sb1'
_cell_length_a 6.3794
_cell_length_b 6.3794
_cell_length_c 6.2396
_cell_angle_alpha 90.00
_cell_angle_beta 90.00
_cell_angle_gamma 90.00
_symmetry_space_group_name_H-M 'P 4/m m m'
_symmetry_Int_Tables_number 123
_symmetry_space_group_name_Hall '-P 4 2'
loop_
_atom_site_label
_atom_site_type_symbol
_atom_site_fract_x
_atom_site_fract_y
_atom_site_fract_z
Ba1 Ba 0.0000 0.5000 0.0000
Sr1 Sr 0.0000 0.0000 0.5000
Tl1 Tl 0.0000 0.0000 0.0000
Sb1 Sb 0.5000 0.5000 0.5000
# * raw total energy: -2.560 eV per atom
# * V: 253.9 Å³ per cell
# * mass density: 4.5 g/cm3